# Ac3Y5H12 | Alexandria via LeMat-Bulk | GGA-PBE | relaxed
data_Ac3Y5H12
_chemical_formula_sum 'Ac12 Y20 H48'
_space_group_name_H-M_alt 'P 1'
_space_group_IT_number 1
_space_group_name_Hall 'P 1'
_cell_length_a 11.900
_cell_length_b 11.900
_cell_length_c 11.900
_cell_angle_alpha 109.47
_cell_angle_beta 109.47
_cell_angle_gamma 109.47
loop_
_atom_site_label
_atom_site_type_symbol
_atom_site_fract_x
_atom_site_fract_y
_atom_site_fract_z
H1 H 0.922 0.086 0.635
H2 H 0.163 0.086 0.950
H3 H 0.050 0.414 0.837
H4 H 0.287 0.422 0.837
Y1 Y 0.250 0.375 0.625
Ac1 Ac 0.125 0.875 0.750
Ac2 Ac 0.375 0.625 0.250
Y2 Y 0.500 0.000 0.000
H5 H 0.578 0.713 0.663
H6 H 0.414 0.365 0.578
Ac3 Ac 0.125 0.250 0.875
H7 H 0.550 0.213 0.135
Y3 Y 0.000 0.000 0.500
Ac4 Ac 0.750 0.375 0.125
H8 H 0.422 0.135 0.586
H9 H 0.213 0.550 0.635
H10 H 0.078 0.163 0.213
H11 H 0.365 0.950 0.787
Ac5 Ac 0.750 0.875 0.625
Ac6 Ac 0.625 0.375 0.750
H12 H 0.787 0.450 0.365
Y4 Y 0.000 0.500 0.500
H13 H 0.663 0.213 0.578
Y5 Y 0.125 0.750 0.375
Y6 Y 0.500 0.500 0.000
Y7 Y 0.250 0.875 0.125
H14 H 0.086 0.922 0.135
H15 H 0.414 0.050 0.337
H16 H 0.337 0.787 0.422
Ac7 Ac 0.875 0.125 0.250
H17 H 0.787 0.337 0.922
H18 H 0.663 0.450 0.586
H19 H 0.450 0.663 0.086
H20 H 0.578 0.865 0.414
H21 H 0.837 0.922 0.287
H22 H 0.086 0.163 0.450
H23 H 0.135 0.713 0.550
H24 H 0.550 0.337 0.914
Ac8 Ac 0.250 0.625 0.875
Ac9 Ac 0.875 0.750 0.125
Y8 Y 0.750 0.125 0.875
Y9 Y 0.375 0.250 0.125
Ac10 Ac 0.625 0.250 0.375
H25 H 0.422 0.287 0.337
H26 H 0.287 0.865 0.950
H27 H 0.135 0.422 0.086
H28 H 0.837 0.914 0.050
Y10 Y 0.125 0.375 0.250
Y11 Y 0.000 0.000 0.000
H29 H 0.213 0.663 0.078
Y12 Y 0.625 0.750 0.875
H30 H 0.337 0.550 0.414
H31 H 0.865 0.578 0.914
Y13 Y 0.000 0.500 0.000
H32 H 0.586 0.950 0.663
H33 H 0.635 0.050 0.213
Y14 Y 0.500 0.500 0.500
Y15 Y 0.625 0.875 0.250
H34 H 0.163 0.078 0.713
H35 H 0.922 0.837 0.787
H36 H 0.586 0.635 0.422
H37 H 0.914 0.837 0.550
H38 H 0.713 0.135 0.050
H39 H 0.950 0.365 0.287
H40 H 0.050 0.635 0.713
H41 H 0.713 0.578 0.163
H42 H 0.635 0.586 0.922
H43 H 0.078 0.914 0.365
H44 H 0.950 0.586 0.163
Ac11 Ac 0.250 0.125 0.375
Y16 Y 0.875 0.625 0.750
Y17 Y 0.750 0.625 0.375
Y18 Y 0.375 0.125 0.750
H45 H 0.365 0.414 0.078
H46 H 0.865 0.287 0.450
Y19 Y 0.500 0.000 0.500
Y20 Y 0.875 0.250 0.625
H47 H 0.450 0.787 0.865
Ac12 Ac 0.375 0.750 0.625
H48 H 0.914 0.078 0.865
# Theoretical density ... 5.824 g cm⁻³
# Space group ... Ia-3d, No. 230
# Raw total energy ... -4.6844 eV/atom


# Ac3YH | Alexandria via LeMat-Bulk | GGA-PBE | relaxed
data_Ac3YH
_chemical_formula_sum 'Ac3 Y1 H1'
_space_group_name_H-M_alt 'P 1'
_space_group_IT_number 1
_space_group_name_Hall 'P 1'
_cell_length_a 5.500
_cell_length_b 5.500
_cell_length_c 5.500
_cell_angle_alpha 90.00
_cell_angle_beta 90.00
_cell_angle_gamma 90.00
loop_
_atom_site_label
_atom_site_type_symbol
_atom_site_fract_x
_atom_site_fract_y
_atom_site_fract_z
Ac1 Ac 0.000 0.500 0.000
Ac2 Ac 0.500 0.000 0.000
Y1 Y 0.500 0.500 0.500
H1 H 0.000 0.000 0.000
Ac3 Ac 0.000 0.000 0.500
# Theoretical density ... 7.694 g cm⁻³
# Space group ... Pm-3m, No. 221
# Raw total energy ... -4.5401 eV/atom


Copy entry 2 word for word.
# Ac3YH | Alexandria via LeMat-Bulk | GGA-PBE | relaxed
data_Ac3YH
_chemical_formula_sum 'Ac3 Y1 H1'
_space_group_name_H-M_alt 'P 1'
_space_group_IT_number 1
_space_group_name_Hall 'P 1'
_cell_length_a 5.500
_cell_length_b 5.500
_cell_length_c 5.500
_cell_angle_alpha 90.00
_cell_angle_beta 90.00
_cell_angle_gamma 90.00
loop_
_atom_site_label
_atom_site_type_symbol
_atom_site_fract_x
_atom_site_fract_y
_atom_site_fract_z
Ac1 Ac 0.000 0.500 0.000
Ac2 Ac 0.500 0.000 0.000
Y1 Y 0.500 0.500 0.500
H1 H 0.000 0.000 0.000
Ac3 Ac 0.000 0.000 0.500
# Theoretical density ... 7.694 g cm⁻³
# Space group ... Pm-3m, No. 221
# Raw total energy ... -4.5401 eV/atom